1.
# PBE-GGA SmPdO, relaxed
# Theoretical density in kg/m³: 8224
# V in A^3/atom: 18.36
# Magnetic moment in μB/f.u.: 0.00
# Raw total energy in eV/atom: -6.59
data_SmPdO
_cell_length_a 3.761
_cell_length_b 3.761
_cell_length_c 8.230
_cell_angle_alpha 103.21
_cell_angle_beta 103.21
_cell_angle_gamma 90.00
_symmetry_space_group_name_H-M 'P 1'
_symmetry_Int_Tables_number 1
loop_
_symmetry_equiv_pos_as_xyz
'x,y,z'
loop_
_atom_site_label
_atom_site_type_symbol
_atom_site_fract_x
_atom_site_fract_y
_atom_site_fract_z
O1 O 0.500 0.000 0.000
O2 O 0.000 0.500 0.000
Sm1 Sm 0.092 0.092 0.183
Sm2 Sm 0.908 0.908 0.817
Pd1 Pd 0.273 0.273 0.547
Pd2 Pd 0.727 0.727 0.453

2.
# PBE-GGA Sm2Pd2O7, relaxed
# Theoretical density in kg/m³: 7373
# V in A^3/atom: 12.81
# Magnetic moment in μB/f.u.: 0.00
# Raw total energy in eV/atom: -6.81
data_Sm2Pd2O7
_cell_length_a 7.359
_cell_length_b 7.359
_cell_length_c 7.359
_cell_angle_alpha 60.00
_cell_angle_beta 60.00
_cell_angle_gamma 60.00
_symmetry_space_group_name_H-M 'P 1'
_symmetry_Int_Tables_number 1
loop_
_symmetry_equiv_pos_as_xyz
'x,y,z'
loop_
_atom_site_label
_atom_site_type_symbol
_atom_site_fract_x
_atom_site_fract_y
_atom_site_fract_z
Sm1 Sm 0.125 0.625 0.625
Sm2 Sm 0.625 0.625 0.625
Sm3 Sm 0.625 0.125 0.625
Sm4 Sm 0.625 0.625 0.125
O1 O 0.462 0.462 0.038
O2 O 0.462 0.038 0.462
O3 O 0.212 0.788 0.788
O4 O 0.212 0.788 0.212
O5 O 0.038 0.462 0.038
O6 O 0.038 0.462 0.462
O7 O 0.500 0.500 0.500
O8 O 0.462 0.038 0.038
O9 O 0.788 0.788 0.212
O10 O 0.038 0.038 0.462
O11 O 0.788 0.212 0.212
O12 O 0.212 0.212 0.788
O13 O 0.788 0.212 0.788
O14 O 0.750 0.750 0.750
Pd1 Pd 0.125 0.125 0.125
Pd2 Pd 0.125 0.125 0.625
Pd3 Pd 0.625 0.125 0.125
Pd4 Pd 0.125 0.625 0.125

3.
# PBE-GGA Sm2PdO, relaxed
# Theoretical density in kg/m³: 9470
# V in A^3/atom: 18.55
# Magnetic moment in μB/f.u.: 0.00
# Raw total energy in eV/atom: -6.16
data_Sm2PdO
_cell_length_a 3.230
_cell_length_b 3.230
_cell_length_c 7.113
_cell_angle_alpha 90.00
_cell_angle_beta 90.00
_cell_angle_gamma 90.00
_symmetry_space_group_name_H-M 'P 1'
_symmetry_Int_Tables_number 1
loop_
_symmetry_equiv_pos_as_xyz
'x,y,z'
loop_
_atom_site_label
_atom_site_type_symbol
_atom_site_fract_x
_atom_site_fract_y
_atom_site_fract_z
Pd1 Pd 0.500 0.500 0.500
Sm1 Sm 0.000 0.000 0.777
Sm2 Sm 0.000 0.000 0.223
O1 O 0.500 0.500 0.000

4.
# PBE-GGA Sm3Pd5O12, relaxed
# Theoretical density in kg/m³: 7128
# V in A^3/atom: 13.69
# Magnetic moment in μB/f.u.: 6.27
# Raw total energy in eV/atom: -6.31
data_Sm3Pd5O12
_cell_length_a 11.247
_cell_length_b 11.247
_cell_length_c 11.247
_cell_angle_alpha 109.47
_cell_angle_beta 109.47
_cell_angle_gamma 109.47
_symmetry_space_group_name_H-M 'P 1'
_symmetry_Int_Tables_number 1
loop_
_symmetry_equiv_pos_as_xyz
'x,y,z'
loop_
_atom_site_label
_atom_site_type_symbol
_atom_site_fract_x
_atom_site_fract_y
_atom_site_fract_z
Pd1 Pd 0.875 0.625 0.750
Pd2 Pd 0.500 0.000 0.500
Pd3 Pd 0.000 0.500 0.500
Pd4 Pd 0.000 0.000 0.500
Pd5 Pd 0.250 0.875 0.125
Pd6 Pd 0.125 0.375 0.250
Pd7 Pd 0.375 0.250 0.125
Pd8 Pd 0.750 0.625 0.375
Pd9 Pd 0.125 0.750 0.375
Pd10 Pd 0.625 0.875 0.250
Pd11 Pd 0.500 0.500 0.000
Pd12 Pd 0.625 0.750 0.875
Pd13 Pd 0.875 0.250 0.625
Pd14 Pd 0.000 0.000 0.000
Pd15 Pd 0.250 0.375 0.625
Pd16 Pd 0.500 0.000 0.000
Pd17 Pd 0.500 0.500 0.500
Pd18 Pd 0.750 0.125 0.875
Pd19 Pd 0.375 0.125 0.750
Pd20 Pd 0.000 0.500 0.000
O1 O 0.088 0.922 0.128
O2 O 0.628 0.588 0.922
O3 O 0.294 0.872 0.960
O4 O 0.460 0.794 0.872
O5 O 0.422 0.294 0.334
O6 O 0.794 0.334 0.922
O7 O 0.334 0.794 0.422
O8 O 0.960 0.372 0.294
O9 O 0.078 0.912 0.372
O10 O 0.040 0.412 0.834
O11 O 0.166 0.078 0.706
O12 O 0.128 0.422 0.088
O13 O 0.206 0.540 0.628
O14 O 0.578 0.706 0.666
O15 O 0.294 0.422 0.834
O16 O 0.540 0.334 0.912
O17 O 0.960 0.588 0.166
O18 O 0.912 0.078 0.872
O19 O 0.588 0.628 0.422
O20 O 0.460 0.666 0.088
O21 O 0.040 0.628 0.706
O22 O 0.588 0.960 0.666
O23 O 0.834 0.922 0.294
O24 O 0.078 0.166 0.206
O25 O 0.206 0.666 0.078
O26 O 0.666 0.206 0.578
O27 O 0.872 0.294 0.460
O28 O 0.912 0.834 0.540
O29 O 0.540 0.206 0.128
O30 O 0.088 0.166 0.460
O31 O 0.578 0.872 0.412
O32 O 0.412 0.372 0.578
O33 O 0.922 0.834 0.794
O34 O 0.372 0.960 0.794
O35 O 0.834 0.912 0.040
O36 O 0.412 0.040 0.334
O37 O 0.372 0.412 0.078
O38 O 0.628 0.040 0.206
O39 O 0.794 0.460 0.372
O40 O 0.128 0.706 0.540
O41 O 0.422 0.128 0.588
O42 O 0.706 0.578 0.166
O43 O 0.706 0.128 0.040
O44 O 0.872 0.578 0.912
O45 O 0.922 0.088 0.628
O46 O 0.166 0.088 0.960
O47 O 0.334 0.540 0.412
O48 O 0.666 0.460 0.588
Sm1 Sm 0.250 0.625 0.875
Sm2 Sm 0.250 0.125 0.375
Sm3 Sm 0.750 0.375 0.125
Sm4 Sm 0.125 0.250 0.875
Sm5 Sm 0.750 0.875 0.625
Sm6 Sm 0.875 0.750 0.125
Sm7 Sm 0.625 0.375 0.750
Sm8 Sm 0.375 0.625 0.250
Sm9 Sm 0.125 0.875 0.750
Sm10 Sm 0.625 0.250 0.375
Sm11 Sm 0.375 0.750 0.625
Sm12 Sm 0.875 0.125 0.250

5.
# PBE-GGA Sm4PdO7, relaxed
# Theoretical density in kg/m³: 7722
# V in A^3/atom: 14.69
# Magnetic moment in μB/f.u.: 0.00
# Raw total energy in eV/atom: -7.83
data_Sm4PdO7
_cell_length_a 6.919
_cell_length_b 7.269
_cell_length_c 7.899
_cell_angle_alpha 110.83
_cell_angle_beta 108.25
_cell_angle_gamma 84.35
_symmetry_space_group_name_H-M 'P 1'
_symmetry_Int_Tables_number 1
loop_
_symmetry_equiv_pos_as_xyz
'x,y,z'
loop_
_atom_site_label
_atom_site_type_symbol
_atom_site_fract_x
_atom_site_fract_y
_atom_site_fract_z
O1 O 0.507 0.791 0.825
O2 O 0.702 0.071 0.494
O3 O 0.440 0.344 0.702
O4 O 0.493 0.209 0.175
O5 O 0.847 0.586 0.096
O6 O 0.057 0.929 0.742
O7 O 0.943 0.071 0.258
O8 O 0.262 0.857 0.086
O9 O 0.157 0.460 0.400
O10 O 0.298 0.929 0.506
O11 O 0.560 0.656 0.298
O12 O 0.843 0.540 0.600
O13 O 0.153 0.414 0.904
O14 O 0.738 0.143 0.914
Sm1 Sm 0.634 0.857 0.145
Sm2 Sm 0.793 0.374 0.786
Sm3 Sm 0.210 0.602 0.731
Sm4 Sm 0.790 0.398 0.269
Sm5 Sm 0.366 0.143 0.855
Sm6 Sm 0.665 0.826 0.621
Sm7 Sm 0.207 0.626 0.214
Sm8 Sm 0.335 0.174 0.379
Pd1 Pd 0.000 0.000 0.500
Pd2 Pd 0.000 0.000 0.000

6.
# PBE-GGA Sm2PdO, relaxed
# Theoretical density in kg/m³: 8254
# V in A^3/atom: 21.28
# Magnetic moment in μB/f.u.: 0.00
# Raw total energy in eV/atom: -6.10
data_Sm2PdO
_cell_length_a 3.452
_cell_length_b 3.452
_cell_length_c 8.488
_cell_angle_alpha 78.27
_cell_angle_beta 78.27
_cell_angle_gamma 60.00
_symmetry_space_group_name_H-M 'P 1'
_symmetry_Int_Tables_number 1
loop_
_symmetry_equiv_pos_as_xyz
'x,y,z'
loop_
_atom_site_label
_atom_site_type_symbol
_atom_site_fract_x
_atom_site_fract_y
_atom_site_fract_z
Sm1 Sm 0.892 0.892 0.325
Sm2 Sm 0.108 0.108 0.675
Pd1 Pd 0.000 0.000 0.000
O1 O 0.500 0.500 0.500